Compound: Y2ErBi2
Source: the Alexandria database
Functional: PBE
Structure: optimized geometry

The density of states at the Fermi level is 5.08 states/eV/f.u. As for the total magnetization: 0.0 μB per formula unit. The calculation puts the electronic total energy at -112.96 eV/cell.

The structure belongs to space group C2/m (No. 12); the cell edges are 17.657, 4.352 and 8.702 Å and the angles 90.00°, 104.24° and 90.00°. The asymmetric unit holds Y at (0.000, 0.000, 0.249), Y at (0.181, 0.500, 0.340), Er at (0.181, 0.500, 0.840), Bi at (0.134, 0.000, 0.568) and Bi at (0.136, 0.000, 0.066).